Ca2MnGeAu6: optimized geometry, PBE.

Calculated values
The density of states at the Fermi level is 0.4270 states/eV/atom. As for the final energy: -40.8 eV/f.u. As for the energy of formation: -324 kJ/mol of formula units.

Lattice parameters (Å, degrees): 5.5548 6.6601 6.9191 72.59 66.47 65.71
Last column: nearest neighbours and their distance in Å.
Space group P-1 (No. 2)
One atom of each set of equivalent atoms:
Ca 0.0058 0.2464 0.2381  7 Au 3.06-3.17, 2 Ge 3.40-3.41
Mn 0.5000 0.0000 0.5000  6 Au 2.60-2.72
Ge 0.5000 0.5000 0.0000  2 Au 2.54
Au 0.0069 0.3074 0.6752  1 Mn 2.72, 4 Au 2.76-2.95, 1 Ge 2.89
Au 0.3357 0.9231 0.9150  1 Ge 2.54, 1 Mn 2.60
Au 0.4913 0.6888 0.3257  1 Mn 2.72, 4 Au 2.76-2.93, 1 Ge 2.87

Ca2MnGe3Au12: optimized geometry, PBE.

Calculated values
The density of states at the Fermi level is 0.5469 states/eV/atom. As for the final energy: -69.2 eV/f.u. As for the energy of formation: -273 kJ/mol of formula units.

Lattice parameters (Å, degrees): 5.7339 5.7339 39.6110 90.00 90.00 120.00
Last column: nearest neighbours and their distance in Å.
Space group R-3m (No. 166, hexagonal axes)
One atom of each set of equivalent atoms:
Ca 0.0000 0.0000 0.1441  9 Au 3.09-3.36, 3 Mn 3.43
Mn 0.0000 0.0000 0.5000  6 Au 2.63
Ge 0.0000 0.5000 0.0000  4 Au 2.75, 4 Ge 2.87
Au 0.0026 0.5013 0.8848  1 Mn 2.63, 6 Au 2.84-2.91
Au 0.0089 0.5044 0.6116  2 Ge 2.75, 6 Au 2.79-2.94

CaGeMoAu2: optimized geometry, PBE.

Calculated values
The density of states at the Fermi level is 0.5110 states/eV/atom. As for the final energy: -23.2 eV/f.u. As for the energy of formation: 81 kJ/mol of formula units.

Lattice parameters (Å, degrees): 5.1414 5.1414 4.7949 90.00 90.00 90.00
Last column: nearest neighbours and their distance in Å.
Space group P4/mmm (No. 123)
One atom of each set of equivalent atoms:
Ca 0.0000 0.0000 0.0000  8 Au 3.52, 4 Ge 3.64
Ge 0.5000 0.5000 0.0000  2 Mo 2.40
Mo 0.5000 0.5000 0.5000  2 Ge 2.40, 4 Au 2.57
Au 0.0000 0.5000 0.5000  2 Mo 2.57

Na2CaGe3Au12: optimized geometry, PBE.

Calculated values
The density of states at the Fermi level is 0.4004 states/eV/atom. As for the final energy: -59.8 eV/f.u. As for the energy of formation: -189 kJ/mol of formula units.

Lattice parameters (Å, degrees): 9.7787 9.7787 13.3319 90.00 90.00 120.00
Last column: nearest neighbours and their distance in Å.
Space group R-3m (No. 166, hexagonal axes)
One atom of each set of equivalent atoms:
Na 0.0000 0.0000 0.1192  3 Au 2.77
Ca 0.0000 0.0000 0.5000  6 Au 2.91
Ge 0.0000 0.5000 0.0000  6 Au 2.58-2.81
Au 0.0077 0.5038 0.8066  1 Ge 2.58, 1 Au 2.74, 1 Na 2.77
Au 0.0386 0.5193 0.3969  2 Au 2.74-2.83, 2 Ge 2.81